Entry 1:
This record from the Alexandria database describes an optimized crystal structure of Sc3AgO. The functional is GGA-PBE.

a = 8.1810 Å, b = 8.1810 Å, c = 6.6776 Å
α = 105.02°, β = 105.02°, γ = 75.83°
Closest atoms and distances in Å follow each position.
Fractional coordinates of all 20 atoms:
1 Sc 0.0162 0.2945 0.6284  1 O 2.04
2 Sc 0.1123 0.6716 0.8561  1 O 2.07
3 Sc 0.2945 0.0162 0.1284  1 O 2.04
4 Sc 0.3183 0.4076 0.4925  2 O 2.03-2.13
5 Sc 0.3284 0.8877 0.6439  1 O 2.07
6 Sc 0.4076 0.3183 0.9925  2 O 2.03-2.13
7 Sc 0.5924 0.6817 0.0075  2 O 2.03-2.13
8 Sc 0.6716 0.1123 0.3561  1 O 2.07
9 Sc 0.6817 0.5924 0.5075  2 O 2.03-2.13
10 Sc 0.7055 0.9838 0.8716  1 O 2.04
11 Sc 0.8877 0.3284 0.1439  1 O 2.07
12 Sc 0.9838 0.7055 0.3716  1 O 2.04
13 Ag 0.0099 0.9901 0.2500  6 Sc 2.73-3.05
14 Ag 0.3260 0.6740 0.2500  8 Sc 2.75-3.05
15 Ag 0.6740 0.3260 0.7500  8 Sc 2.75-3.05
16 Ag 0.9901 0.0099 0.7500  6 Sc 2.73-3.05
17 O 0.2214 0.4148 0.7619  4 Sc 2.03-2.13
18 O 0.4148 0.2214 0.2619  4 Sc 2.03-2.13
19 O 0.5852 0.7786 0.7381  4 Sc 2.03-2.13
20 O 0.7786 0.5852 0.2381  4 Sc 2.03-2.13

Its formation energy without anion corrections is -1188 meV per atom. The total magnetic moment is 0.001 μB/f.u.



Entry 2:
This record from the Alexandria database describes an optimized crystal structure of PmEu2Y. The functional is GGA-PBE.

a = 3.6904 Å, b = 3.6904 Å, c = 10.6728 Å
α = 90.00°, β = 90.00°, γ = 90.00°
Closest atoms and distances in Å follow each position.
Fractional coordinates of all 4 atoms:
1 Pm 0.0000 0.0000 0.0000  4 Pm 3.69, 8 Eu 3.75
2 Eu 0.5000 0.5000 0.2524  4 Eu 3.69, 4 Y 3.71, 4 Pm 3.75
3 Eu 0.5000 0.5000 0.7476  4 Eu 3.69, 4 Y 3.71, 4 Pm 3.75
4 Y 0.0000 0.0000 0.5000  4 Y 3.69, 8 Eu 3.71

The value obtained for the energy relative to the elements is 105.7 meV/atom. The total magnetic moment is 15.239 μB/f.u.



Entry 3:
This record from the Alexandria database describes an optimized crystal structure of CaAgCl3. The functional is GGA-PBE.

a = 7.2728 Å, b = 7.2728 Å, c = 6.5791 Å
α = 101.31°, β = 101.31°, γ = 120.78°
Closest atoms and distances in Å follow each position.
Fractional coordinates of all 10 atoms:
1 Ca 0.1668 0.8332 0.0000  6 Cl 2.75-2.80
2 Ca 0.8332 0.1668 0.0000  6 Cl 2.75-2.80
3 Ag 0.3968 0.3968 0.7449  3 Cl 2.54-2.64
4 Ag 0.6032 0.6032 0.2551  3 Cl 2.54-2.64
5 Cl 0.0604 0.4159 0.7606  1 Ag 2.54, 2 Ca 2.75
6 Cl 0.2351 0.2351 0.2537  1 Ag 2.64, 2 Ca 2.80
7 Cl 0.4159 0.0604 0.7606  1 Ag 2.54, 2 Ca 2.75
8 Cl 0.5841 0.9396 0.2394  1 Ag 2.54, 2 Ca 2.75
9 Cl 0.7649 0.7649 0.7463  1 Ag 2.64, 2 Ca 2.80
10 Cl 0.9396 0.5841 0.2394  1 Ag 2.54, 2 Ca 2.75

Its formation energy without anion corrections is -1609 meV per atom. The total magnetic moment is 0.000 μB/f.u.



Entry 4:
This record from the Alexandria database describes an optimized crystal structure of HoLuPdPb. The functional is GGA-PBE.

a = 5.1529 Å, b = 5.1529 Å, c = 5.1529 Å
α = 60.00°, β = 60.00°, γ = 60.00°
Closest atoms and distances in Å follow each position.
Fractional coordinates of all 4 atoms:
1 Ho 0.0000 0.0000 0.0000  4 Pb 3.16, 4 Pd 3.16
2 Lu 0.5000 0.5000 0.5000  4 Pd 3.16, 4 Pb 3.16
3 Pd 0.7500 0.7500 0.7500  4 Lu 3.16, 4 Ho 3.16
4 Pb 0.2500 0.2500 0.2500  4 Lu 3.16, 4 Ho 3.16

The value obtained for the energy relative to the elements is -611.1 meV/atom. The total magnetic moment is 0.000 μB/f.u.



Entry 5:
This record from the Alexandria database describes an optimized crystal structure of Sr5MnH2N4. The functional is GGA-PBE.

a = 7.3980 Å, b = 5.7272 Å, c = 5.7272 Å
α = 115.87°, β = 90.00°, γ = 90.00°
Closest atoms and distances in Å follow each position.
Fractional coordinates of all 12 atoms:
1 Sr 0.0000 0.0000 0.0000  2 N 2.47, 2 H 2.67
2 Sr 0.2768 0.3076 0.6687  3 N 2.55-2.60, 2 H 2.62-2.67
3 Sr 0.2768 0.6687 0.3076  3 N 2.55-2.60, 2 H 2.62-2.67
4 Sr 0.7232 0.3076 0.6687  3 N 2.55-2.60, 2 H 2.62-2.67
5 Sr 0.7232 0.6687 0.3076  3 N 2.55-2.60, 2 H 2.62-2.67
6 Mn 0.5000 0.9963 0.9963  4 N 1.82-1.83
7 H 0.0000 0.5300 0.9894  5 Sr 2.62-2.67
8 H 0.0000 0.9894 0.5300  5 Sr 2.62-2.67
9 N 0.3017 0.1745 0.1745  1 Mn 1.82
10 N 0.5000 0.6645 0.9658  1 Mn 1.83
11 N 0.5000 0.9658 0.6645  1 Mn 1.83
12 N 0.6983 0.1745 0.1745  1 Mn 1.82

The raw total energy is -63.63 eV/f.u. The total magnetic moment is 2.997 μB/f.u.



Entry 6:
This record from the Alexandria database describes an optimized crystal structure of Y2ZrCo. The functional is GGA-PBE.

a = 6.0619 Å, b = 6.0619 Å, c = 6.0619 Å
α = 146.54°, β = 130.76°, γ = 60.84°
Closest atoms and distances in Å follow each position.
Fractional coordinates of all 4 atoms:
1 Y 0.1984 0.1984 0.0000  2 Co 2.71
2 Y 0.8016 0.8016 0.0000  2 Co 2.71
3 Zr 0.5000 0.0000 0.5000  4 Co 3.07, 4 Y 3.27
4 Co 0.0000 0.5000 0.5000  4 Y 2.71

The value obtained for the energy relative to the elements is 58.5 meV/atom. The total magnetic moment is 0.001 μB/f.u.